LiGa2Ag6: relaxed, GGA-PBE.

Lattice parameters (Å, degrees): 8.552 8.552 4.650 96.57 96.57 68.12
Positions (direct):
Li 0.137 0.863 0.750
Li 0.863 0.137 0.250
Ga 0.193 0.490 0.915
Ga 0.490 0.193 0.415
Ga 0.510 0.807 0.585
Ga 0.807 0.510 0.085
Ag 0.007 0.787 0.202
Ag 0.123 0.346 0.362
Ag 0.213 0.993 0.298
Ag 0.321 0.560 0.467
Ag 0.346 0.123 0.862
Ag 0.440 0.679 0.033
Ag 0.560 0.321 0.967
Ag 0.654 0.877 0.138
Ag 0.679 0.440 0.533
Ag 0.787 0.007 0.702
Ag 0.877 0.654 0.638
Ag 0.993 0.213 0.798

magnetization: 0.0 Bohr magnetons per cell
final energy: -2.84 eV/atom
ΔH_f (0 K): -0.05 eV per atom
relative energy among the computed polymorphs: 3.7 kJ per mole of atoms

Li3GaAg5: relaxed, GGA-PBE.

Lattice parameters (Å, degrees): 7.908 7.908 7.908 127.10 127.10 78.09
Positions (direct):
Li 0.108 0.608 0.716
Li 0.250 0.250 0.000
Li 0.392 0.108 0.500
Li 0.608 0.892 0.500
Li 0.750 0.750 0.000
Li 0.892 0.392 0.284
Ga 0.250 0.750 0.500
Ga 0.750 0.250 0.500
Ag 0.000 0.000 0.000
Ag 0.079 0.155 0.500
Ag 0.155 0.655 0.076
Ag 0.345 0.421 0.500
Ag 0.421 0.921 0.076
Ag 0.500 0.500 0.000
Ag 0.579 0.079 0.924
Ag 0.655 0.579 0.500
Ag 0.845 0.345 0.924
Ag 0.921 0.845 0.500

magnetization: 0.0 Bohr magnetons per cell
final energy: -2.62 eV/atom
ΔH_f (0 K): -0.06 eV per atom
relative energy among the computed polymorphs: 8.9 kJ per mole of atoms

LiGa2Ag: relaxed, GGA-PBE.

Lattice parameters (Å, degrees): 9.118 9.118 9.118 18.75 18.75 18.75
Positions (direct):
Li 0.000 0.000 0.000
Ga 0.585 0.585 0.585
Ga 0.747 0.747 0.747
Ag 0.165 0.165 0.165

magnetization: 0.0 Bohr magnetons per cell
final energy: -2.82 eV/atom
ΔH_f (0 K): -0.11 eV per atom
relative energy among the computed polymorphs: 6.8 kJ per mole of atoms